1.
VASP calculation (PBE) on a relaxed LaTb2Sc3 crystal.

- D(E_F): 1.454 states/eV/atom
- E_tot: -5.47 eV per atom
- Crystal system: monoclinic

```
12
Lattice="-5.5311 2.1745 -0.2540 1.2059 -4.6614 3.4949 -1.3374 8.4073 8.3030" Properties=species:S:1:pos:R:3 pbc="T T T"
La -4.8010 5.0267 8.3297
Sc -2.3418 6.0124 10.5360
Sc -4.1313 0.8256 4.1759
Tb -0.6687 4.2036 4.1515
Sc -1.7376 1.8473 6.3956
Sc -3.9250 4.0731 5.1483
Tb -2.5611 2.7349 9.5918
Tb -3.1015 3.1855 1.9521
Sc -3.3208 -0.0920 1.0079
La -0.8616 0.8937 3.2142
Sc -1.5313 5.0948 7.3680
Tb 0.0000 0.0000 0.0000
```

2.
VASP calculation (PBE) on a relaxed CaZnInNi crystal.

- D(E_F): 0.782 states/eV/atom
- E_tot: -3.09 eV per atom
- Crystal system: cubic

```
4
Lattice="4.7596 0.0000 0.0000 2.3798 4.1220 0.0000 2.3798 1.3740 3.8862" Properties=species:S:1:pos:R:3 pbc="T T T"
In 4.7596 2.7480 1.9431
Ca 0.0000 0.0000 0.0000
Zn 7.1394 4.1220 2.9147
Ni 2.3798 1.3740 0.9716
```

3.
VASP calculation (PBE) on a relaxed K6NaPb2 crystal.

- D(E_F): 1.100 states/eV/atom
- E_tot: -1.79 eV per atom
- Crystal system: monoclinic

```
9
Lattice="-4.3168 2.4276 3.3942 -1.5705 -6.0049 -3.0128 5.7987 -3.4763 9.8610" Properties=species:S:1:pos:R:3 pbc="T T T"
K 1.9648 -3.6634 5.1189
K 1.9017 -1.5224 8.8177
Pb -0.3247 -4.5894 8.1797
K -3.2660 -1.2552 2.0543
K 3.1774 -5.7984 8.1881
Na 0.0000 0.0000 0.0000
Pb 0.2361 -2.4642 2.0627
K -2.0534 -3.3903 5.1236
K -1.9903 -5.5312 1.4247
```

- D(E_F) of number 3 (K6NaPb2)?
  1.100 states/eV/atom

- Among the records above, which one has the highest E_tot?
  K6NaPb2